# 1
CeTmSc2Tl4 | Alexandria via LeMat-Bulk | PBE-GGA | relaxed; density = 9.74 g/cm³; volume = 25.92 Å³/atom; magnetic moment = 1.12 μB per cell; crystal system = trigonal; DFT formation energy = -0.2485 eV per atom; energy = -4.315 eV/atom
1.0
-1.7011 -4.1001 2.8134
-1.2726 -4.4937 -2.4098
7.1731 -5.6484 1.0141
Sc Tl Ce Tm
2 4 1 1
direct
0.7492 0.7492 0.7523 Sc
0.2508 0.2508 0.2477 Sc
0.1224 0.1224 0.6329 Tl
0.6270 0.6270 0.1191 Tl
0.3730 0.3730 0.8809 Tl
0.8776 0.8776 0.3671 Tl
0.5000 0.5000 0.5000 Ce
0.0000 0.0000 0.0000 Tm

***

# 2
YP4Rh | Alexandria via LeMat-Bulk | PBE-GGA | relaxed; excess energy over the best structure of this formula in the dataset = 12.35 kcal/mol of atoms; density = 5.40 g/cm³; volume = 16.17 Å³/atom; magnetic moment = 0.00 μB per cell; crystal system = cubic; DFT formation energy = 0.0232 eV per atom; energy = -5.886 eV/atom
1.0
0.0000 3.6472 3.6472
3.6472 0.0000 3.6472
3.6472 3.6472 0.0000
P Rh Y
4 1 1
direct
0.8604 0.3799 0.3799 P
0.3799 0.3799 0.3799 P
0.3799 0.8604 0.3799 P
0.3799 0.3799 0.8604 P
0.7500 0.7500 0.7500 Rh
0.0000 0.0000 0.0000 Y

***

# 3
As2IrPt | Alexandria via LeMat-Bulk | PBE-GGA | relaxed; excess energy over the best structure of this formula in the dataset = 7.88 kcal/mol of atoms; density = 13.59 g/cm³; volume = 16.41 Å³/atom; magnetic moment = 0.00 μB per cell; crystal system = orthorhombic; DFT formation energy = 0.2570 eV per atom; energy = -5.793 eV/atom
1.0
2.8584 -0.0147 0.0000
-1.4318 2.4740 0.0000
0.0000 0.0000 9.3099
As Ir Pt
2 1 1
direct
0.0000 0.0000 0.4898 As
0.0000 0.0000 0.0102 As
0.5000 0.5000 0.2500 Ir
0.5000 0.5000 0.7500 Pt